Below is crystalline KNaI at its relaxed geometry, with properties calculated at the GGA-PBE level.

Cell lengths 5.5316, 5.5316, 5.3053 Å; angles 90.00, 90.00, 120.00 degrees
Space group P3m1 (No. 156)
Asymmetric unit:
K 0.0000 0.0000 0.0000 (multiplicity 1)
Na 0.3333 0.6667 0.5002 (multiplicity 1)
I 0.6667 0.3333 0.5014 (multiplicity 1)

Summary:
- Formation energy from raw total energies: -0.688 eV per atom
- Relative energy among the computed polymorphs: 83 meV/atom
- E: -2.01 eV per atom

=====

Below is crystalline K2NaI2 at its relaxed geometry, with properties calculated at the GGA-PBE level.

Cell lengths 10.175, 10.175, 4.274 Å; angles 90.00, 90.00, 90.00 degrees
Space group P4/mbm (No. 127)
Asymmetric unit:
K 0.142 0.358 0.000 (multiplicity 4)
Na 0.000 0.000 0.000 (multiplicity 2)
I 0.154 0.654 0.500 (multiplicity 4)

Summary:
- Formation energy from raw total energies: -0.956 eV per atom
- Relative energy among the computed polymorphs: 69 meV/atom
- E: -2.28 eV per atom

=====

Below is crystalline K3Na5I8 at its relaxed geometry, with properties calculated at the GGA-PBE level.

Cell lengths 9.5463, 9.5463, 23.5821 Å; angles 90.00, 90.00, 120.00 degrees
Space group R-3m (No. 166, hexagonal axes)
Asymmetric unit:
K 0.0000 0.5000 0.0000 (multiplicity 9)
Na 0.0000 0.0000 0.0000 (multiplicity 3)
Na 0.0000 0.0000 0.5000 (multiplicity 3)
Na 0.0000 0.5000 0.5000 (multiplicity 9)
I 0.0000 0.0000 0.2417 (multiplicity 6)
I 0.0107 0.5054 0.7554 (multiplicity 18)

Summary:
- Formation energy from raw total energies: -1.330 eV per atom
- E: -2.72 eV per atom

=====

Below is crystalline KNaI2 at its relaxed geometry, with properties calculated at the GGA-PBE level.

Cell lengths 6.912, 5.074, 20.195 Å; angles 90.00, 90.00, 90.00 degrees
Space group Pnma (No. 62)
Asymmetric unit:
K 0.249 0.250 0.060 (multiplicity 4)
Na 0.248 0.750 0.328 (multiplicity 4)
I 0.249 0.250 0.428 (multiplicity 4)
I 0.249 0.750 0.176 (multiplicity 4)

Summary:
- Formation energy from raw total energies: -1.333 eV per atom
- Relative energy among the computed polymorphs: 28 meV/atom
- E: -2.71 eV per atom

=====

Below is crystalline K2NaI2 at its relaxed geometry, with properties calculated at the GGA-PBE level.

Cell lengths 9.579, 9.579, 4.687 Å; angles 90.00, 90.00, 90.00 degrees
Space group P4/mbm (No. 127)
Asymmetric unit:
K 0.150 0.350 0.000 (multiplicity 4)
Na 0.000 0.000 0.500 (multiplicity 2)
I 0.156 0.656 0.500 (multiplicity 4)

Summary:
- Formation energy from raw total energies: -1.024 eV per atom
- Relative energy among the computed polymorphs: 0 meV/atom
- E: -2.35 eV per atom

=====

Below is crystalline KNa3I at its relaxed geometry, with properties calculated at the GGA-PBE level.

Cell lengths 6.671, 6.671, 6.671 Å; angles 90.00, 90.00, 90.00 degrees
Space group Pm-3m (No. 221)
Asymmetric unit:
K 0.000 0.000 0.000 (multiplicity 1)
Na 0.000 0.000 0.500 (multiplicity 3)
I 0.500 0.500 0.500 (multiplicity 1)

Summary:
- Formation energy from raw total energies: 0.136 eV per atom
- Relative energy among the computed polymorphs: 432 meV/atom
- E: -1.18 eV per atom